Here is crystalline Li3Pu2TaN6 at its relaxed geometry from Alexandria. Energies are from GGA-PBE.

The value obtained for the density is 8.91 Mg/m³. The raw formation energy is -915 meV/atom.

It has space group C2/m (No. 12), with a = 14.2766 Å, b = 3.2853 Å, c = 6.2235 Å, α = 90.00°, β = 98.83° and γ = 90.00°. The asymmetric unit holds Li at (0.0000, 0.0000, 0.0000), Li at (0.1433, 0.5000, 0.3050), Pu at (0.1665, 0.5000, 0.8116), Ta at (0.0000, 0.0000, 0.5000), N at (0.0083, 0.5000, 0.7283), N at (0.1478, 0.0000, 0.5698) and N at (0.1758, 0.0000, 0.0495).